Entry 1:
# LiCa2MgH

A relaxed LiCa2MgH crystal (PBE-GGA, the Alexandria database).

Unit cell a=5.089 b=5.089 c=4.548 alpha=90.00 beta=90.00 gamma=90.00
Element x y z (fractional)
H (0.000, 0.000, 0.000)
Ca (0.000, 0.500, 0.000)
Ca (0.500, 0.000, 0.000)
Mg (0.000, 0.000, 0.500)
Li (0.500, 0.500, 0.500)

Values from the calculation:
- crystal system = tetragonal
- polymorph energy (0 for the lowest one) (meV per atom) = 57

Entry 2:
# Li2CaMgH

A relaxed Li2CaMgH crystal (PBE-GGA, the Alexandria database).

Unit cell a=4.692 b=4.692 c=4.581 alpha=90.00 beta=90.00 gamma=90.00
Element x y z (fractional)
H (0.000, 0.000, 0.000)
Ca (0.000, 0.000, 0.500)
Mg (0.500, 0.500, 0.500)
Li (0.000, 0.500, 0.000)
Li (0.500, 0.000, 0.000)

Values from the calculation:
- crystal system = tetragonal
- total energy (eV for the cell shown) = -11.286

Entry 3:
# LiCa2MgH

A relaxed LiCa2MgH crystal (PBE-GGA, the Alexandria database).

Unit cell a=5.226 b=5.226 c=4.270 alpha=90.00 beta=90.00 gamma=90.00
Element x y z (fractional)
H (0.000, 0.000, 0.000)
Ca (0.000, 0.500, 0.000)
Ca (0.500, 0.000, 0.000)
Mg (0.500, 0.500, 0.500)
Li (0.000, 0.000, 0.500)

Values from the calculation:
- crystal system = tetragonal
- polymorph energy (0 for the lowest one) (meV per atom) = 0

Entry 4:
# LiCa2MnH6

A relaxed LiCa2MnH6 crystal (PBE-GGA, the Alexandria database).

Unit cell a=4.700 b=4.961 c=4.961 alpha=120.00 beta=90.00 gamma=90.00
Element x y z (fractional)
Li (0.500, 0.000, 0.000)
Ca (0.196, 0.333, 0.667)
Ca (0.804, 0.667, 0.333)
Mn (0.000, 0.000, 0.000)
H (0.789, 0.159, 0.319)
H (0.789, 0.159, 0.841)
H (0.789, 0.681, 0.841)
H (0.211, 0.841, 0.159)
H (0.211, 0.319, 0.159)
H (0.211, 0.841, 0.681)

Values from the calculation:
- crystal system = trigonal
- total energy (eV for the cell shown) = -39.502

Entry 5:
# LiCaHN2

A relaxed LiCaHN2 crystal (PBE-GGA, the Alexandria database).

Unit cell a=3.455 b=5.037 c=3.455 alpha=90.00 beta=90.00 gamma=90.00
Element x y z (fractional)
H (0.500, 0.500, 0.500)
Ca (0.000, 0.500, 0.000)
Li (0.000, 0.000, 0.000)
N (0.000, 0.000, 0.500)
N (0.500, 0.000, 0.000)

Values from the calculation:
- crystal system = tetragonal
- total energy (eV for the cell shown) = -18.679

Entry 6:
# Li2CaHN

A relaxed Li2CaHN crystal (PBE-GGA, the Alexandria database).

Unit cell a=3.448 b=6.170 c=6.875 alpha=90.00 beta=90.00 gamma=106.23
Element x y z (fractional)
Li (0.157, 0.315, 0.946)
Li (0.843, 0.685, 0.054)
Li (0.157, 0.315, 0.554)
Li (0.843, 0.685, 0.446)
Ca (0.481, 0.962, 0.750)
Ca (0.519, 0.038, 0.250)
H (0.721, 0.442, 0.750)
H (0.279, 0.558, 0.250)
N (0.000, 0.000, 0.000)
N (0.000, 0.000, 0.500)

Values from the calculation:
- crystal system = orthorhombic
- total energy (eV for the cell shown) = -38.661

Entry 7:
# NaLiCa2H

A relaxed NaLiCa2H crystal (PBE-GGA, the Alexandria database).

Unit cell a=5.042 b=5.042 c=5.094 alpha=90.00 beta=90.00 gamma=90.00
Element x y z (fractional)
Na (0.000, 0.000, 0.500)
Ca (0.000, 0.500, 0.000)
Ca (0.500, 0.000, 0.000)
H (0.000, 0.000, 0.000)
Li (0.500, 0.500, 0.500)

Values from the calculation:
- crystal system = tetragonal
- polymorph energy (0 for the lowest one) (meV per atom) = 0

Entry 8:
# NaLiCa2H

A relaxed NaLiCa2H crystal (PBE-GGA, the Alexandria database).

Unit cell a=5.330 b=5.330 c=4.523 alpha=90.00 beta=90.00 gamma=90.00
Element x y z (fractional)
Na (0.500, 0.500, 0.500)
Ca (0.000, 0.500, 0.000)
Ca (0.500, 0.000, 0.000)
H (0.000, 0.000, 0.000)
Li (0.000, 0.000, 0.500)

Values from the calculation:
- crystal system = tetragonal
- polymorph energy (0 for the lowest one) (meV per atom) = 28

Entry 9:
# NaLi2CaH

A relaxed NaLi2CaH crystal (PBE-GGA, the Alexandria database).

Unit cell a=4.996 b=4.996 c=4.573 alpha=90.00 beta=90.00 gamma=90.00
Element x y z (fractional)
Na (0.500, 0.500, 0.500)
Ca (0.000, 0.000, 0.500)
H (0.000, 0.000, 0.000)
Li (0.000, 0.500, 0.000)
Li (0.500, 0.000, 0.000)

Values from the calculation:
- crystal system = tetragonal
- total energy (eV for the cell shown) = -10.571

Entry 10:
# Na2LiCaH

A relaxed Na2LiCaH crystal (PBE-GGA, the Alexandria database).

Unit cell a=5.235 b=5.235 c=4.620 alpha=90.00 beta=90.00 gamma=90.00
Element x y z (fractional)
Na (0.000, 0.500, 0.000)
Na (0.500, 0.000, 0.000)
Ca (0.000, 0.000, 0.500)
H (0.000, 0.000, 0.000)
Li (0.500, 0.500, 0.500)

Values from the calculation:
- crystal system = tetragonal
- total energy (eV for the cell shown) = -10.067

Entry 11:
# LiCa2NiH

A relaxed LiCa2NiH crystal (PBE-GGA, the Alexandria database).

Unit cell a=5.166 b=5.166 c=3.560 alpha=90.00 beta=90.00 gamma=90.00
Element x y z (fractional)
Ni (0.000, 0.000, 0.500)
Ca (0.000, 0.500, 0.000)
Ca (0.500, 0.000, 0.000)
H (0.000, 0.000, 0.000)
Li (0.500, 0.500, 0.500)

Values from the calculation:
- crystal system = tetragonal
- polymorph energy (0 for the lowest one) (meV per atom) = 24

Entry 12:
# Li2CaNiH8

A relaxed Li2CaNiH8 crystal (PBE-GGA, the Alexandria database).

Unit cell a=4.304 b=4.304 c=6.304 alpha=90.00 beta=90.00 gamma=120.00
Element x y z (fractional)
Li (0.667, 0.333, 0.134)
Li (0.333, 0.667, 0.866)
Ca (0.000, 0.000, 0.500)
Ni (0.000, 0.000, 0.000)
H (0.837, 0.675, 0.859)
H (0.325, 0.163, 0.859)
H (0.837, 0.163, 0.859)
H (0.163, 0.325, 0.141)
H (0.675, 0.837, 0.141)
H (0.163, 0.837, 0.141)
H (0.667, 0.333, 0.426)
H (0.333, 0.667, 0.574)

Values from the calculation:
- crystal system = trigonal
- total energy (eV for the cell shown) = -41.787

| no. | total moment (Bohr magnetons per cell) |
| --- | --- |
| 1 | 0.00 |
| 2 | 0.00 |
| 3 | 0.00 |
| 4 | 0.10 |
| 5 | 0.00 |
| 6 | 0.00 |
| 7 | 0.00 |
| 8 | 0.00 |
| 9 | 0.00 |
| 10 | 0.00 |
| 11 | 0.00 |
| 12 | 0.00 |